[1]
Density functional theory data (PBE) for a geometry-optimized La6TmTh structure.

The structure in CIF format:
```
data_La6TmTh
_chemical_formula_sum 'La6 Tm1 Th1'
_space_group_name_H-M_alt 'P -1'
_space_group_IT_number 2
_space_group_name_Hall '-P 1'
_cell_length_a 6.712
_cell_length_b 6.814
_cell_length_c 6.952
_cell_angle_alpha 60.70
_cell_angle_beta 88.47
_cell_angle_gamma 87.08
loop_
_atom_site_label
_atom_site_fract_x
_atom_site_fract_y
_atom_site_fract_z
La1 0.228 0.458 0.000
La2 0.257 0.909 0.550
La3 0.258 0.459 0.450
Tm1 0.500 0.000 0.000
Th1 0.000 0.000 0.000
```

Values from the calculation:
DFT total energy, eV per atom: -5.04
ΔE to the lowest computed polymorph, eV/atom: 0.114
E_form, meV per atom: 146



[2]
Density functional theory data (PBE) for a geometry-optimized LaTmTh structure.

The structure in CIF format:
```
data_LaTmTh
_chemical_formula_sum 'La2 Tm2 Th2'
_space_group_name_H-M_alt 'I 4 m m'
_space_group_IT_number 107
_space_group_name_Hall 'I 4 -2'
_cell_length_a 3.617
_cell_length_b 3.617
_cell_length_c 15.199
_cell_angle_alpha 90.00
_cell_angle_beta 90.00
_cell_angle_gamma 90.00
loop_
_atom_site_label
_atom_site_fract_x
_atom_site_fract_y
_atom_site_fract_z
La1 0.000 0.000 0.000
Tm1 0.000 0.000 0.683
Th1 0.000 0.000 0.337
```

Values from the calculation:
DFT total energy, eV per atom: -5.57
ΔE to the lowest computed polymorph, eV/atom: 0.000
E_form, meV per atom: 34



[3]
Density functional theory data (PBE) for a geometry-optimized La2Tm3Th4 structure.

The structure in CIF format:
```
data_La2Tm3Th4
_chemical_formula_sum 'La4 Tm6 Th8'
_space_group_name_H-M_alt 'C 1 2/m 1'
_space_group_IT_number 12
_space_group_name_Hall '-C 2y'
_cell_length_a 18.671
_cell_length_b 3.584
_cell_length_c 9.721
_cell_angle_alpha 90.00
_cell_angle_beta 115.37
_cell_angle_gamma 90.00
loop_
_atom_site_label
_atom_site_fract_x
_atom_site_fract_y
_atom_site_fract_z
La1 0.164 0.000 0.499
Tm1 0.000 0.500 0.500
Tm2 0.148 0.500 0.164
Th1 0.024 0.000 0.836
Th2 0.184 0.500 0.838
```

Values from the calculation:
DFT total energy, eV per atom: -5.83
E_form, meV per atom: 49



[4]
Density functional theory data (PBE) for a geometry-optimized LaTm2Th2 structure.

The structure in CIF format:
```
data_LaTm2Th2
_chemical_formula_sum 'La3 Tm6 Th6'
_space_group_name_H-M_alt 'R -3 m'
_space_group_IT_number 166
_space_group_name_Hall '-R 3 2"'
_cell_length_a 3.5862
_cell_length_b 3.5862
_cell_length_c 43.4031
_cell_angle_alpha 90.00
_cell_angle_beta 90.00
_cell_angle_gamma 120.00
loop_
_atom_site_label
_atom_site_fract_x
_atom_site_fract_y
_atom_site_fract_z
La1 0.0000 0.0000 0.0000
Tm1 0.0000 0.0000 0.4017
Th1 0.0000 0.0000 0.1993
```

Values from the calculation:
DFT total energy, eV per atom: -5.72
ΔE to the lowest computed polymorph, eV/atom: 0.000
E_form, meV per atom: 20



[5]
Density functional theory data (PBE) for a geometry-optimized La2Tm3Th structure.

The structure in CIF format:
```
data_La2Tm3Th
_chemical_formula_sum 'La8 Tm12 Th4'
_space_group_name_H-M_alt 'C 1 2/c 1'
_space_group_IT_number 15
_space_group_name_Hall '-C 2yc'
_cell_length_a 9.068
_cell_length_b 9.850
_cell_length_c 9.106
_cell_angle_alpha 90.00
_cell_angle_beta 102.00
_cell_angle_gamma 90.00
loop_
_atom_site_label
_atom_site_fract_x
_atom_site_fract_y
_atom_site_fract_z
La1 0.126 0.248 0.124
Tm1 0.000 0.418 0.750
Tm2 0.249 0.083 0.499
Th1 0.000 0.083 0.750
```

Values from the calculation:
DFT total energy, eV per atom: -5.01
E_form, meV per atom: 110



[6]
Density functional theory data (PBE) for a geometry-optimized La8Tm4Th structure.

The structure in CIF format:
```
data_La8Tm4Th
_chemical_formula_sum 'La24 Tm12 Th3'
_space_group_name_H-M_alt 'R -3 m'
_space_group_IT_number 166
_space_group_name_Hall '-R 3 2"'
_cell_length_a 7.2460
_cell_length_b 7.2460
_cell_length_c 30.1095
_cell_angle_alpha 90.00
_cell_angle_beta 90.00
_cell_angle_gamma 120.00
loop_
_atom_site_label
_atom_site_fract_x
_atom_site_fract_y
_atom_site_fract_z
La1 0.0000 0.0000 0.2094
La2 0.0329 0.5165 0.7611
Tm1 0.0000 0.0000 0.0000
Tm2 0.0000 0.5000 0.0000
Th1 0.0000 0.0000 0.5000
```

Values from the calculation:
DFT total energy, eV per atom: -4.79
E_form, meV per atom: 193



[7]
Density functional theory data (PBE) for a geometry-optimized La2TmTh3 structure.

The structure in CIF format:
```
data_La2TmTh3
_chemical_formula_sum 'La8 Tm4 Th12'
_space_group_name_H-M_alt 'C m c m'
_space_group_IT_number 63
_space_group_name_Hall '-C 2c 2'
_cell_length_a 10.352
_cell_length_b 11.511
_cell_length_c 6.774
_cell_angle_alpha 90.00
_cell_angle_beta 90.00
_cell_angle_gamma 90.00
loop_
_atom_site_label
_atom_site_fract_x
_atom_site_fract_y
_atom_site_fract_z
La1 0.167 0.230 0.250
Tm1 0.000 0.272 0.750
Th1 0.000 0.000 0.000
Th2 0.166 0.500 0.000
```

Values from the calculation:
DFT total energy, eV per atom: -5.91
E_form, meV per atom: 192



[8]
Density functional theory data (PBE) for a geometry-optimized La6TmTh structure.

The structure in CIF format:
```
data_La6TmTh
_chemical_formula_sum 'La6 Tm1 Th1'
_space_group_name_H-M_alt 'P 4/m m m'
_space_group_IT_number 123
_space_group_name_Hall '-P 4 2'
_cell_length_a 5.195
_cell_length_b 5.195
_cell_length_c 10.384
_cell_angle_alpha 90.00
_cell_angle_beta 90.00
_cell_angle_gamma 90.00
loop_
_atom_site_label
_atom_site_fract_x
_atom_site_fract_y
_atom_site_fract_z
La1 0.000 0.000 0.000
La2 0.000 0.000 0.500
La3 0.000 0.500 0.246
Tm1 0.500 0.500 0.500
Th1 0.500 0.500 0.000
```

Values from the calculation:
DFT total energy, eV per atom: -5.15
ΔE to the lowest computed polymorph, eV/atom: 0.000
E_form, meV per atom: 32



[9]
Density functional theory data (PBE) for a geometry-optimized LaTm5Th4 structure.

The structure in CIF format:
```
data_LaTm5Th4
_chemical_formula_sum 'La2 Tm10 Th8'
_space_group_name_H-M_alt 'P m m n'
_space_group_IT_number 59
_cell_length_a 10.088
_cell_length_b 11.088
_cell_length_c 5.869
_cell_angle_alpha 90.00
_cell_angle_beta 90.00
_cell_angle_gamma 90.00
loop_
_space_group_symop_operation_xyz
'x,y,z'
'-x,-y,-z'
'-x+1/2,-y+1/2,z'
'x+1/2,y+1/2,-z'
'x+1/2,-y,-z'
'-x+1/2,y,z'
'-x,y+1/2,-z'
'x,-y+1/2,z'
loop_
_atom_site_label
_atom_site_fract_x
_atom_site_fract_y
_atom_site_fract_z
La1 0.250 0.250 0.101
Tm1 0.046 0.058 0.247
Tm2 0.250 0.750 0.789
Th1 0.043 0.750 0.288
Th2 0.250 0.069 0.695
```

Values from the calculation:
DFT total energy, eV per atom: -5.38
E_form, meV per atom: 318



[10]
Density functional theory data (PBE) for a geometry-optimized LaTm3Th2 structure.

The structure in CIF format:
```
data_LaTm3Th2
_chemical_formula_sum 'La4 Tm12 Th8'
_space_group_name_H-M_alt 'C m c m'
_space_group_IT_number 63
_space_group_name_Hall '-C 2c 2'
_cell_length_a 6.865
_cell_length_b 17.452
_cell_length_c 6.535
_cell_angle_alpha 90.00
_cell_angle_beta 90.00
_cell_angle_gamma 90.00
loop_
_atom_site_label
_atom_site_fract_x
_atom_site_fract_y
_atom_site_fract_z
La1 0.000 0.151 0.250
Tm1 0.000 0.351 0.750
Tm2 0.248 0.326 0.250
Th1 0.246 0.500 0.000
```

Values from the calculation:
DFT total energy, eV per atom: -5.33
ΔE to the lowest computed polymorph, eV/atom: 0.045
E_form, meV per atom: 204



[11]
Density functional theory data (PBE) for a geometry-optimized La3Tm4Th structure.

The structure in CIF format:
```
data_La3Tm4Th
_chemical_formula_sum 'La6 Tm8 Th2'
_space_group_name_H-M_alt 'I m m m'
_space_group_IT_number 71
_space_group_name_Hall '-I 2 2'
_cell_length_a 3.441
_cell_length_b 11.763
_cell_length_c 13.162
_cell_angle_alpha 90.00
_cell_angle_beta 90.00
_cell_angle_gamma 90.00
loop_
_atom_site_label
_atom_site_fract_x
_atom_site_fract_y
_atom_site_fract_z
La1 0.000 0.000 0.000
La2 0.000 0.500 0.232
Tm1 0.000 0.250 0.367
Th1 0.000 0.000 0.500
```

Values from the calculation:
DFT total energy, eV per atom: -4.85
E_form, meV per atom: 157



[12]
Density functional theory data (PBE) for a geometry-optimized La2Tm5Th structure.

The structure in CIF format:
```
data_La2Tm5Th
_chemical_formula_sum 'La8 Tm20 Th4'
_space_group_name_H-M_alt 'C m c m'
_space_group_IT_number 63
_space_group_name_Hall '-C 2c 2'
_cell_length_a 5.639
_cell_length_b 11.359
_cell_length_c 16.544
_cell_angle_alpha 90.00
_cell_angle_beta 90.00
_cell_angle_gamma 90.00
loop_
_atom_site_label
_atom_site_fract_x
_atom_site_fract_y
_atom_site_fract_z
La1 0.000 0.222 0.133
Tm1 0.000 0.092 0.572
Tm2 0.000 0.393 0.560
Tm3 0.000 0.483 0.250
Th1 0.000 0.210 0.750
```

Values from the calculation:
DFT total energy, eV per atom: -4.81
E_form, meV per atom: 149



Number 9 is which compound?
LaTm5Th4